[1]
# Ca2NiIrO6, relaxed, DFT GGA+U
# - N(E_F) (states/eV per atom) = 0.23
# - energy (eV per cell) = -124.92
data_Ca2NiIrO6
_chemical_formula_sum 'Ca4 Ni2 Ir2 O12'
_space_group_name_H-M_alt 'P 1 21/c 1'
_space_group_IT_number 14
_cell_length_a 5.422
_cell_length_b 5.623
_cell_length_c 9.426
_cell_angle_alpha 90.00
_cell_angle_beta 124.86
_cell_angle_gamma 90.00
loop_
_space_group_symop_operation_xyz
'x,y,z'
'-x,-y,-z'
'-x,y+1/2,-z+1/2'
'x,-y+1/2,z+1/2'
loop_
_atom_site_label
_atom_site_fract_x
_atom_site_fract_y
_atom_site_fract_z
Ca1 0.233 0.060 0.248
Ni1 0.000 0.000 0.500
Ir1 0.500 0.000 0.000
O1 0.160 0.194 0.953
O2 0.259 0.712 0.948
O3 0.353 0.029 0.757

---

[2]
# CaNiIrO6, relaxed, DFT GGA+U
# - N(E_F) (states/eV per atom) = 0.53
# - energy (eV per cell) = -105.17
data_CaNiIrO6
_chemical_formula_sum 'Ca2 Ni2 Ir2 O12'
_space_group_name_H-M_alt 'P -3 1 c'
_space_group_IT_number 163
_space_group_name_Hall '-P 3 2c'
_cell_length_a 5.4198
_cell_length_b 5.4198
_cell_length_c 8.3216
_cell_angle_alpha 90.00
_cell_angle_beta 90.00
_cell_angle_gamma 120.00
loop_
_atom_site_label
_atom_site_fract_x
_atom_site_fract_y
_atom_site_fract_z
Ca1 0.3333 0.6667 0.2500
Ni1 0.0000 0.0000 0.0000
Ir1 0.3333 0.6667 0.7500
O1 0.0573 0.3681 0.6189

---

[3]
# Ca15NiIr4O24, relaxed, DFT GGA+U
# - N(E_F) (states/eV per atom) = 0.49
# - energy (eV per cell) = -572.71
data_Ca15NiIr4O24
_chemical_formula_sum 'Ca30 Ni2 Ir8 O48'
_space_group_name_H-M_alt 'C 1 2 1'
_space_group_IT_number 5
_cell_length_a 9.230
_cell_length_b 9.391
_cell_length_c 13.157
_cell_angle_alpha 90.00
_cell_angle_beta 91.34
_cell_angle_gamma 90.00
loop_
_space_group_symop_operation_xyz
'x,y,z'
'-x,y,-z'
'x+1/2,y+1/2,z'
'-x+1/2,y+1/2,-z'
loop_
_atom_site_label
_atom_site_fract_x
_atom_site_fract_y
_atom_site_fract_z
Ca1 0.000 0.000 0.000
Ca2 0.000 0.005 0.500
Ca3 0.000 0.644 0.500
Ca4 0.002 0.145 0.750
Ca5 0.002 0.782 0.755
Ca6 0.177 0.469 0.823
Ca7 0.180 0.327 0.067
Ca8 0.182 0.325 0.571
Ca9 0.182 0.463 0.320
Ni1 0.000 0.645 0.000
Ir1 0.248 0.646 0.123
Ir2 0.250 0.144 0.374
O1 0.059 0.538 0.139
O2 0.064 0.533 0.656
O3 0.065 0.256 0.403
O4 0.066 0.258 0.902
O5 0.121 0.814 0.083
O6 0.129 0.968 0.338
O7 0.130 0.820 0.589
O8 0.131 0.970 0.840
O9 0.232 0.586 0.975
O10 0.239 0.211 0.227
O11 0.241 0.578 0.477
O12 0.245 0.206 0.727

---

Per-record total magnetization, μB/f.u.: 4.878 1.393 6.202